Model 1:
Here is crystalline Tc3PbSe at its relaxed geometry from Alexandria via LeMat-Bulk. Energies are from PBE-GGA.

Properties
- M_tot (Bohr magnetons per cell) = 2.57
- N(E_F) (states/eV per atom) = 0.98

```
5
Lattice="4.625 0.000 0.000 0.000 4.625 0.000 0.000 0.000 4.625" Properties=species:S:1:pos:R:3 pbc="T T T"
Tc 0.000 0.000 2.312
Tc 0.000 2.312 0.000
Tc 2.312 0.000 0.000
Pb 2.312 2.312 2.312
Se 0.000 0.000 0.000
```

Model 2:
Here is crystalline Tc3PbSe at its relaxed geometry from Alexandria via LeMat-Bulk. Energies are from PBE-GGA.

Properties
- M_tot (Bohr magnetons per cell) = 0.03
- N(E_F) (states/eV per atom) = 2.93

```
5
Lattice="4.985 0.000 0.000 0.000 4.985 0.000 0.000 0.000 4.985" Properties=species:S:1:pos:R:3 pbc="T T T"
Tc 0.000 0.000 2.493
Tc 0.000 2.493 0.000
Tc 2.493 0.000 0.000
Pb 0.000 0.000 0.000
Se 2.493 2.493 2.493
```

Energy ordering: model 1 at the bottom, the next structure 1.610 eV/atom above.

Model 1:
Here is crystalline TePbSe at its relaxed geometry from Alexandria via LeMat-Bulk. Energies are from PBE-GGA.

Properties
- M_tot (Bohr magnetons per cell) = 0.00
- N(E_F) (states/eV per atom) = 1.11

```
3
Lattice="0.000 3.650 3.650 3.650 0.000 3.650 3.650 3.650 0.000" Properties=species:S:1:pos:R:3 pbc="T T T"
Te 0.000 0.000 0.000
Pb 3.650 3.650 3.650
Se 5.475 5.475 5.475
```

Model 2:
Here is crystalline TePbSe at its relaxed geometry from Alexandria via LeMat-Bulk. Energies are from PBE-GGA.

Properties
- M_tot (Bohr magnetons per cell) = 0.00
- N(E_F) (states/eV per atom) = 0.19

```
3
Lattice="-2.134 2.134 5.333 2.134 -2.134 5.333 2.134 2.134 -5.333" Properties=species:S:1:pos:R:3 pbc="T T T"
Te 0.000 0.000 0.000
Pb 0.000 0.000 6.763
Se 0.000 0.000 2.643
```

Model 3:
Here is crystalline TePbSe at its relaxed geometry from Alexandria via LeMat-Bulk. Energies are from PBE-GGA.

Properties
- M_tot (Bohr magnetons per cell) = 0.00
- N(E_F) (states/eV per atom) = 0.40

```
3
Lattice="-1.729 1.729 7.898 1.729 -1.729 7.898 1.729 1.729 -7.898" Properties=species:S:1:pos:R:3 pbc="T T T"
Te 0.000 0.000 0.000
Pb 0.000 0.000 5.102
Se 0.000 0.000 11.309
```

Energy ordering: model 2 at the bottom, the next structure 0.156 eV/atom above.

Model 1:
Here is crystalline TePbSe2 at its relaxed geometry from Alexandria via LeMat-Bulk. Energies are from PBE-GGA.

Properties
- M_tot (Bohr magnetons per cell) = 0.00
- N(E_F) (states/eV per atom) = 0.23

```
4
Lattice="4.345 0.000 0.000 0.000 4.371 0.000 -0.049 0.000 6.071" Properties=species:S:1:pos:R:3 pbc="T T T"
Te 0.000 0.000 0.000
Pb 2.148 2.185 3.035
Se -0.025 0.000 3.035
Se 2.173 2.185 0.000
```

Model 2:
Here is crystalline TePbSe2 at its relaxed geometry from Alexandria via LeMat-Bulk. Energies are from PBE-GGA.

Properties
- M_tot (Bohr magnetons per cell) = 0.00
- N(E_F) (states/eV per atom) = 1.19

```
4
Lattice="2.070 1.195 8.951 -2.070 1.195 8.951 0.000 -2.390 8.951" Properties=species:S:1:pos:R:3 pbc="T T T"
Te 0.000 0.000 0.000
Pb 0.000 0.000 13.426
Se 0.000 0.000 2.668
Se 0.000 0.000 24.184
```

Model 3:
Here is crystalline TePbSe2 at its relaxed geometry from Alexandria via LeMat-Bulk. Energies are from PBE-GGA.

Properties
- M_tot (Bohr magnetons per cell) = 0.00
- N(E_F) (states/eV per atom) = 0.77

```
4
Lattice="2.129 1.229 7.394 -2.129 1.229 7.394 0.000 -2.459 7.394" Properties=species:S:1:pos:R:3 pbc="T T T"
Te 0.000 0.000 0.000
Pb 0.000 0.000 3.758
Se 0.000 0.000 9.104
Se 0.000 0.000 13.043
```

Energy ordering: model 1 at the bottom, the next structure 0.174 eV/atom above.

Model 1:
Here is crystalline TePbSe2 at its relaxed geometry from Alexandria via LeMat-Bulk. Energies are from PBE-GGA.

Properties
- M_tot (Bohr magnetons per cell) = 0.00
- N(E_F) (states/eV per atom) = 0.95

```
4
Lattice="4.106 0.000 0.000 0.000 4.125 0.000 0.000 0.000 7.157" Properties=species:S:1:pos:R:3 pbc="T T T"
Te 0.000 0.000 0.000
Pb 0.000 2.062 3.578
Se 2.053 0.000 3.578
Se 2.053 2.062 0.000
```

Model 2:
Here is crystalline TePbSe2 at its relaxed geometry from Alexandria via LeMat-Bulk. Energies are from PBE-GGA.

Properties
- M_tot (Bohr magnetons per cell) = 0.00
- N(E_F) (states/eV per atom) = 0.24

```
4
Lattice="4.319 0.000 0.000 0.000 5.009 0.000 -1.450 0.000 5.641" Properties=species:S:1:pos:R:3 pbc="T T T"
Te 0.000 0.000 0.000
Pb 1.611 2.505 2.412
Se 1.867 2.505 5.456
Se 3.382 0.000 2.801
```

Energy ordering: model 2 at the bottom, the next structure 0.177 eV/atom above.

Model 1:
Here is crystalline TePb2Se2 at its relaxed geometry from Alexandria via LeMat-Bulk. Energies are from PBE-GGA.

Properties
- M_tot (Bohr magnetons per cell) = 0.00
- N(E_F) (states/eV per atom) = 0.29

```
5
Lattice="-2.132 2.132 8.106 2.132 -2.132 8.106 2.132 2.132 -8.106" Properties=species:S:1:pos:R:3 pbc="T T T"
Te 0.000 0.000 0.000
Pb 0.000 0.000 6.347
Pb 0.000 0.000 9.865
Se 2.132 0.000 4.053
Se 0.000 2.132 4.053
```

Model 2:
Here is crystalline TePb2Se2 at its relaxed geometry from Alexandria via LeMat-Bulk. Energies are from PBE-GGA.

Properties
- M_tot (Bohr magnetons per cell) = 0.00
- N(E_F) (states/eV per atom) = 0.81

```
10
Lattice="8.637 0.000 0.000 0.000 8.637 0.000 0.000 0.000 3.803" Properties=species:S:1:pos:R:3 pbc="T T T"
Te 0.000 0.000 0.000
Te 4.319 4.319 0.000
Pb 1.352 2.966 0.000
Pb 2.966 7.285 0.000
Pb 5.671 1.352 0.000
Pb 7.285 5.671 0.000
Se 1.298 5.616 1.902
Se 3.021 1.298 1.902
Se 5.616 7.339 1.902
Se 7.339 3.021 1.902
```

Energy ordering: model 1 at the bottom, the next structure 0.037 eV/atom above.

Model 1:
Here is crystalline TePbSe3 at its relaxed geometry from Alexandria via LeMat-Bulk. Energies are from PBE-GGA.

Properties
- M_tot (Bohr magnetons per cell) = 0.00
- N(E_F) (states/eV per atom) = 0.01

```
20
Lattice="9.499 0.000 0.000 0.000 4.110 0.000 0.000 0.000 14.969" Properties=species:S:1:pos:R:3 pbc="T T T"
Te 1.594 1.028 0.875
Te 3.155 3.083 8.360
Te 6.344 1.028 6.609
Te 7.905 3.083 14.094
Pb 0.057 3.083 5.004
Pb 4.693 1.028 12.489
Pb 4.806 3.083 2.481
Pb 9.442 1.028 9.965
Se 0.143 1.028 13.191
Se 1.441 1.028 7.377
Se 1.905 3.083 10.742
Se 2.844 1.028 3.257
Se 3.308 3.083 14.862
Se 4.606 3.083 5.706
Se 4.893 1.028 9.264
Se 6.191 1.028 0.108
Se 6.655 3.083 11.713
Se 7.594 1.028 4.228
Se 8.058 3.083 7.592
Se 9.356 3.083 1.779
```

Model 2:
Here is crystalline TePbSe3 at its relaxed geometry from Alexandria via LeMat-Bulk. Energies are from PBE-GGA.

Properties
- M_tot (Bohr magnetons per cell) = 0.00
- N(E_F) (states/eV per atom) = 0.16

```
5
Lattice="5.347 0.000 0.000 0.000 5.347 0.000 0.000 0.000 5.347" Properties=species:S:1:pos:R:3 pbc="T T T"
Te 0.000 0.000 0.000
Pb 2.674 2.674 2.674
Se 0.000 0.000 2.674
Se 0.000 2.674 0.000
Se 2.674 0.000 0.000
```

Energy ordering: model 1 at the bottom, the next structure 0.374 eV/atom above.